# 1
Rb2NpNi2S4 (PBE, optimized geometry); mass density = 5.31 g cm⁻³; formation energy (no corrections) = -1001 meV/atom; E_tot = -52.0 eV per formula unit
1.0
7.100 -1.946 0.000
7.100 1.946 0.000
-2.520 0.000 7.403
Rb Np Ni S
2 1 2 4
direct
0.137 0.137 0.061 Rb
0.863 0.863 0.939 Rb
0.000 0.000 0.500 Np
0.317 0.317 0.512 Ni
0.683 0.683 0.488 Ni
0.197 0.197 0.651 S
0.476 0.476 0.719 S
0.524 0.524 0.281 S
0.803 0.803 0.349 S

***

# 2
RbNp4Ni3S12 (PBE, optimized geometry); mass density = 5.95 g cm⁻³; formation energy (no corrections) = -816 meV/atom; E_tot = -135.9 eV per formula unit
1.0
-4.810 4.810 4.810
4.810 -4.810 4.810
4.810 4.810 -4.810
Rb Np Ni S
1 4 3 12
direct
0.000 0.000 0.000 Rb
0.000 0.000 0.500 Np
0.000 0.500 0.000 Np
0.500 0.000 0.000 Np
0.500 0.500 0.500 Np
0.000 0.500 0.500 Ni
0.500 0.000 0.500 Ni
0.500 0.500 0.000 Ni
0.159 0.489 0.329 S
0.159 0.830 0.671 S
0.170 0.329 0.841 S
0.329 0.159 0.489 S
0.329 0.841 0.170 S
0.489 0.329 0.159 S
0.511 0.671 0.841 S
0.671 0.159 0.830 S
0.671 0.841 0.511 S
0.830 0.671 0.159 S
0.841 0.170 0.329 S
0.841 0.511 0.671 S

***

# 3
RbNp2Ni2S6 (PBE, optimized geometry); mass density = 5.26 g cm⁻³; formation energy (no corrections) = -895 meV/atom; E_tot = -73.0 eV per formula unit
1.0
7.065 0.000 0.000
3.427 6.322 0.000
3.390 1.790 6.147
Rb Np Ni S
1 2 2 6
direct
0.000 0.000 0.000 Rb
0.331 0.009 0.328 Np
0.669 0.991 0.672 Np
0.328 0.553 0.669 Ni
0.672 0.447 0.331 Ni
0.090 0.746 0.484 S
0.325 0.250 0.927 S
0.481 0.757 0.662 S
0.519 0.243 0.338 S
0.675 0.750 0.073 S
0.910 0.254 0.516 S